# 1
VCd3Rh: relaxed, PBE.

Properties
M_tot ... 4.87 μB per formula unit
Electronic total energy ... -0.1862 Ry per atom
ΔH_f (0 K) ... 1.309 eV per atom

Structure (CIF):
```
data_VCd3Rh
_cell_length_a 5.110
_cell_length_b 5.110
_cell_length_c 5.110
_cell_angle_alpha 90.00
_cell_angle_beta 90.00
_cell_angle_gamma 90.00
_symmetry_space_group_name_H-M 'P m -3 m'
_symmetry_Int_Tables_number 221
_symmetry_space_group_name_Hall '-P 4 2 3'
loop_
_atom_site_label
_atom_site_fract_x
_atom_site_fract_y
_atom_site_fract_z
V1 0.000 0.000 0.000
Cd1 0.000 0.000 0.500
Rh1 0.500 0.500 0.500
```



# 2
VCd2Rh: relaxed, PBE.

Properties
M_tot ... 2.83 μB per formula unit
Electronic total energy ... -0.2979 Ry per atom
ΔH_f (0 K) ... 0.522 eV per atom

Structure (CIF):
```
data_VCd2Rh
_cell_length_a 7.651
_cell_length_b 7.651
_cell_length_c 5.336
_cell_angle_alpha 90.00
_cell_angle_beta 90.00
_cell_angle_gamma 90.00
_symmetry_space_group_name_H-M 'I -4 2 d'
_symmetry_Int_Tables_number 122
_symmetry_space_group_name_Hall 'I -4 2bw'
loop_
_atom_site_label
_atom_site_fract_x
_atom_site_fract_y
_atom_site_fract_z
V1 0.000 0.000 0.000
Cd1 0.232 0.250 0.625
Rh1 0.000 0.000 0.500
```



# 3
VCd2Rh2: relaxed, PBE.

Properties
M_tot ... 1.39 μB per formula unit
Electronic total energy ... -0.3782 Ry per atom
ΔH_f (0 K) ... -0.015 eV per atom

Structure (CIF):
```
data_VCd2Rh2
_cell_length_a 6.354
_cell_length_b 6.354
_cell_length_c 4.380
_cell_angle_alpha 90.00
_cell_angle_beta 90.00
_cell_angle_gamma 90.00
_symmetry_space_group_name_H-M 'P 4/m b m'
_symmetry_Int_Tables_number 127
_symmetry_space_group_name_Hall '-P 4 2ab'
loop_
_atom_site_label
_atom_site_fract_x
_atom_site_fract_y
_atom_site_fract_z
V1 0.000 0.000 0.000
Cd1 0.166 0.334 0.500
Rh1 0.143 0.643 0.000
```



# 4
V2CdRh3: relaxed, PBE.

Properties
M_tot ... 1.20 μB per formula unit
Electronic total energy ... -0.5282 Ry per atom
ΔH_f (0 K) ... -0.319 eV per atom

Structure (CIF):
```
data_V2CdRh3
_cell_length_a 2.862
_cell_length_b 2.862
_cell_length_c 10.885
_cell_angle_alpha 90.00
_cell_angle_beta 90.00
_cell_angle_gamma 90.00
_symmetry_space_group_name_H-M 'P 4/m m m'
_symmetry_Int_Tables_number 123
_symmetry_space_group_name_Hall '-P 4 2'
loop_
_atom_site_label
_atom_site_fract_x
_atom_site_fract_y
_atom_site_fract_z
V1 0.000 0.000 0.162
Cd1 0.000 0.000 0.500
Rh1 0.500 0.500 0.000
Rh2 0.500 0.500 0.305
```



# 5
V2CdRh: relaxed, PBE.

Properties
M_tot ... 0.00 μB per formula unit
Electronic total energy ... -0.4560 Ry per atom
ΔH_f (0 K) ... 0.422 eV per atom

Structure (CIF):
```
data_V2CdRh
_cell_length_a 7.149
_cell_length_b 7.149
_cell_length_c 5.288
_cell_angle_alpha 90.00
_cell_angle_beta 90.00
_cell_angle_gamma 90.00
_symmetry_space_group_name_H-M 'I -4 2 d'
_symmetry_Int_Tables_number 122
_symmetry_space_group_name_Hall 'I -4 2bw'
loop_
_atom_site_label
_atom_site_fract_x
_atom_site_fract_y
_atom_site_fract_z
V1 0.204 0.250 0.125
Cd1 0.000 0.000 0.500
Rh1 0.000 0.000 0.000
```



# 6
V4CdRh5: relaxed, PBE.

Properties
M_tot ... 0.91 μB per formula unit
Electronic total energy ... -0.5695 Ry per atom
ΔH_f (0 K) ... -0.334 eV per atom

Structure (CIF):
```
data_V4CdRh5
_cell_length_a 2.800
_cell_length_b 2.800
_cell_length_c 18.331
_cell_angle_alpha 90.00
_cell_angle_beta 90.00
_cell_angle_gamma 90.00
_symmetry_space_group_name_H-M 'P 4/m m m'
_symmetry_Int_Tables_number 123
_symmetry_space_group_name_Hall '-P 4 2'
loop_
_atom_site_label
_atom_site_fract_x
_atom_site_fract_y
_atom_site_fract_z
V1 0.000 0.000 0.098
V2 0.000 0.000 0.294
Cd1 0.000 0.000 0.500
Rh1 0.500 0.500 0.000
Rh2 0.500 0.500 0.195
Rh3 0.500 0.500 0.382
```



# 7
VCd3Rh: relaxed, PBE.

Properties
M_tot ... 4.11 μB per formula unit
Electronic total energy ... -0.2296 Ry per atom
ΔH_f (0 K) ... 0.720 eV per atom

Structure (CIF):
```
data_VCd3Rh
_cell_length_a 5.079
_cell_length_b 5.079
_cell_length_c 5.079
_cell_angle_alpha 90.00
_cell_angle_beta 90.00
_cell_angle_gamma 90.00
_symmetry_space_group_name_H-M 'P m -3 m'
_symmetry_Int_Tables_number 221
_symmetry_space_group_name_Hall '-P 4 2 3'
loop_
_atom_site_label
_atom_site_fract_x
_atom_site_fract_y
_atom_site_fract_z
V1 0.000 0.000 0.000
Cd1 0.000 0.500 0.500
Rh1 0.500 0.500 0.500
```



# 8
VCdRh: relaxed, PBE.

Properties
M_tot ... 0.00 μB per formula unit
Electronic total energy ... -0.4187 Ry per atom
ΔH_f (0 K) ... 0.098 eV per atom

Structure (CIF):
```
data_VCdRh
_cell_length_a 5.003
_cell_length_b 7.488
_cell_length_c 10.645
_cell_angle_alpha 90.00
_cell_angle_beta 90.00
_cell_angle_gamma 90.00
_symmetry_space_group_name_H-M 'F m m m'
_symmetry_Int_Tables_number 69
_symmetry_space_group_name_Hall '-F 2 2'
loop_
_atom_site_label
_atom_site_fract_x
_atom_site_fract_y
_atom_site_fract_z
V1 0.250 0.250 0.250
Cd1 0.000 0.174 0.000
Rh1 0.000 0.000 0.369
```



# 9
VCd2Rh2: relaxed, PBE.

Properties
M_tot ... 1.48 μB per formula unit
Electronic total energy ... -0.3428 Ry per atom
ΔH_f (0 K) ... 0.467 eV per atom

Structure (CIF):
```
data_VCd2Rh2
_cell_length_a 3.680
_cell_length_b 3.680
_cell_length_c 13.630
_cell_angle_alpha 90.00
_cell_angle_beta 90.00
_cell_angle_gamma 90.00
_symmetry_space_group_name_H-M 'I 4/m m m'
_symmetry_Int_Tables_number 139
_symmetry_space_group_name_Hall '-I 4 2'
loop_
_atom_site_label
_atom_site_fract_x
_atom_site_fract_y
_atom_site_fract_z
V1 0.000 0.000 0.000
Cd1 0.000 0.500 0.250
Rh1 0.000 0.000 0.408
```



# 10
VCdRh2W: relaxed, PBE.

Properties
M_tot ... 0.00 μB per formula unit
Electronic total energy ... -0.3923 Ry per atom
ΔH_f (0 K) ... 2.201 eV per atom

Structure (CIF):
```
data_VCdRh2W
_cell_length_a 4.678
_cell_length_b 4.678
_cell_length_c 4.622
_cell_angle_alpha 90.00
_cell_angle_beta 90.00
_cell_angle_gamma 90.00
_symmetry_space_group_name_H-M 'P 4/m m m'
_symmetry_Int_Tables_number 123
_symmetry_space_group_name_Hall '-P 4 2'
loop_
_atom_site_label
_atom_site_fract_x
_atom_site_fract_y
_atom_site_fract_z
V1 0.000 0.000 0.000
Cd1 0.000 0.000 0.500
Rh1 0.000 0.500 0.500
W1 0.500 0.500 0.000
```



# 11
CdRh2W: relaxed, PBE.

Properties
M_tot ... 0.00 μB per formula unit
Electronic total energy ... -0.5058 Ry per atom
ΔH_f (0 K) ... 0.261 eV per atom

Structure (CIF):
```
data_CdRh2W
_cell_length_a 3.406
_cell_length_b 3.406
_cell_length_c 5.719
_cell_angle_alpha 90.00
_cell_angle_beta 90.00
_cell_angle_gamma 90.00
_symmetry_space_group_name_H-M 'P 4 m m'
_symmetry_Int_Tables_number 99
loop_
_symmetry_equiv_pos_as_xyz
'x,y,z'
'-y,x,z'
'-x,-y,z'
'y,-x,z'
'-x,y,z'
'y,x,z'
'x,-y,z'
'-y,-x,z'
loop_
_atom_site_label
_atom_site_fract_x
_atom_site_fract_y
_atom_site_fract_z
Cd1 0.000 0.000 0.000
Rh1 0.000 0.000 0.511
Rh2 0.500 0.500 0.243
W1 0.500 0.500 0.681
```



# 12
Cd2RhW: relaxed, PBE.

Properties
M_tot ... 0.02 μB per formula unit
Electronic total energy ... -0.3670 Ry per atom
ΔH_f (0 K) ... 0.540 eV per atom

Structure (CIF):
```
data_Cd2RhW
_cell_length_a 3.942
_cell_length_b 3.942
_cell_length_c 4.509
_cell_angle_alpha 90.00
_cell_angle_beta 90.00
_cell_angle_gamma 90.00
_symmetry_space_group_name_H-M 'P 4/m m m'
_symmetry_Int_Tables_number 123
_symmetry_space_group_name_Hall '-P 4 2'
loop_
_atom_site_label
_atom_site_fract_x
_atom_site_fract_y
_atom_site_fract_z
Cd1 0.000 0.500 0.000
Rh1 0.000 0.000 0.500
W1 0.500 0.500 0.500
```



# 13
Cd3RhW: relaxed, PBE.

Properties
M_tot ... 0.51 μB per formula unit
Electronic total energy ... -0.2083 Ry per atom
ΔH_f (0 K) ... 1.776 eV per atom

Structure (CIF):
```
data_Cd3RhW
_cell_length_a 5.201
_cell_length_b 5.201
_cell_length_c 5.201
_cell_angle_alpha 90.00
_cell_angle_beta 90.00
_cell_angle_gamma 90.00
_symmetry_space_group_name_H-M 'P m -3 m'
_symmetry_Int_Tables_number 221
_symmetry_space_group_name_Hall '-P 4 2 3'
loop_
_atom_site_label
_atom_site_fract_x
_atom_site_fract_y
_atom_site_fract_z
Cd1 0.000 0.000 0.500
Rh1 0.500 0.500 0.500
W1 0.000 0.000 0.000
```



# 14
Cd2RhW: relaxed, PBE.

Properties
M_tot ... 0.00 μB per formula unit
Electronic total energy ... -0.3632 Ry per atom
ΔH_f (0 K) ... 0.593 eV per atom

Structure (CIF):
```
data_Cd2RhW
_cell_length_a 4.918
_cell_length_b 4.918
_cell_length_c 2.903
_cell_angle_alpha 90.00
_cell_angle_beta 90.00
_cell_angle_gamma 90.00
_symmetry_space_group_name_H-M 'P 4/m m m'
_symmetry_Int_Tables_number 123
_symmetry_space_group_name_Hall '-P 4 2'
loop_
_atom_site_label
_atom_site_fract_x
_atom_site_fract_y
_atom_site_fract_z
Cd1 0.000 0.500 0.000
Rh1 0.000 0.000 0.500
W1 0.500 0.500 0.500
```